Record 1
Below is a geometry-optimized Cs2PdBr3F structure, with properties calculated at the PBE level.

Cell: 4.5442 7.4105 7.4105 Å, 80.80 90.00 90.00°
Last column: nearest neighbours and their distance in Å.
Fractional coordinates of all 7 atoms:
Br: 0.0000 0.2636 0.7487  1 Pd 2.47
Br: 0.0000 0.7487 0.2636  1 Pd 2.47
Br: 0.0000 0.7890 0.7890  1 Pd 2.42
F: 0.0000 0.1873 0.1873  1 Pd 2.07
Cs: 0.5000 0.0460 0.4617  2 F 3.12
Cs: 0.5000 0.4617 0.0460  2 F 3.12
Pd: 0.0000 0.0037 0.0037  1 F 2.07

Record 2
Below is a geometry-optimized Cs2FeHgBr6 structure, with properties calculated at the PBE level.

ΔE to the lowest computed polymorph in kcal/mol of atoms: 0.187

Cell: 7.8343 7.8343 7.8343 Å, 60.00 60.00 60.00°
Last column: nearest neighbours and their distance in Å.
Fractional coordinates of all 10 atoms:
Cs: 0.7500 0.7500 0.7500  12 Br 3.92
Br: 0.2341 0.2341 0.7659  1 Fe 2.59
Br: 0.7659 0.2341 0.2341  1 Fe 2.59
Br: 0.2341 0.7659 0.7659  1 Fe 2.59
Fe: 0.0000 0.0000 0.0000  6 Br 2.59
Cs: 0.2500 0.2500 0.2500  12 Br 3.92
Br: 0.7659 0.2341 0.7659  1 Fe 2.59
Hg: 0.5000 0.5000 0.5000  6 Br 2.95
Br: 0.2341 0.7659 0.2341  1 Fe 2.59
Br: 0.7659 0.7659 0.2341  1 Fe 2.59

Number 1: electronic total energy -3.399 eV/atom. Number 2: electronic total energy -3.010 eV/atom.